MgCdMo2: optimized geometry, PBEsol.

Energy: -5.998 eV/atom
Spin magnetization: 0.00 μB per cell
Volume: 17.226 Å³ per atom
ΔE_f: 2.46 eV per formula unit
Space group: P4/mmm (123)

Cell: 3.5467 3.5467 5.4777 Å, 90.00 90.00 90.00°
Fractional positions:
1 Cd 0.5000 0.5000 0.0000
2 Mo 0.0000 0.0000 0.7099
3 Mg 0.5000 0.5000 0.5000
4 Mo 0.0000 0.0000 0.2901

Mg2CdN: optimized geometry, PBEsol.

Energy: -2.793 eV/atom
Spin magnetization: 0.00 μB per cell
Volume: 16.128 Å³ per atom
Raw formation energy: 0.496 eV per atom
Space group: Fm-3m (225)

Cell: 4.5018 4.5018 4.5018 Å, 60.00 60.00 60.00°
Fractional positions:
1 Mg 0.7500 0.7500 0.7500
2 Mg 0.2500 0.2500 0.2500
3 Cd 0.5000 0.5000 0.5000
4 N 0.0000 0.0000 0.0000

E above lowest polymorph for the records above, in order: 179 698 meV per atom